# 1
Computed, not measured: an optimized crystal structure of ScAg3Pt at the PBE level of DFT.

Cell and atoms, written as CIF:
```
data_ScAg3Pt
_chemical_formula_sum 'Sc1 Ag3 Pt1'
_space_group_name_H-M_alt 'P m -3 m'
_space_group_IT_number 221
_space_group_name_Hall '-P 4 2 3'
_cell_length_a 5.0378
_cell_length_b 5.0378
_cell_length_c 5.0378
_cell_angle_alpha 90.00
_cell_angle_beta 90.00
_cell_angle_gamma 90.00
loop_
_atom_site_label
_atom_site_type_symbol
_atom_site_fract_x
_atom_site_fract_y
_atom_site_fract_z
_atom_site_occupancy
Sc1 Sc 0.0000 0.0000 0.0000 1
Ag1 Ag 0.0000 0.5000 0.5000 1
Pt1 Pt 0.5000 0.5000 0.5000 1
```

Computed properties:
Energy above the most stable polymorph in this dataset   0.00 eV/f.u.

# 2
Computed, not measured: an optimized crystal structure of BaP2RuO at the PBE level of DFT.

Cell and atoms, written as CIF:
```
data_BaP2RuO
_chemical_formula_sum 'Ba1 P2 Ru1 O1'
_space_group_name_H-M_alt 'P 4/m m m'
_space_group_IT_number 123
_space_group_name_Hall '-P 4 2'
_cell_length_a 5.7256
_cell_length_b 5.7256
_cell_length_c 4.2782
_cell_angle_alpha 90.00
_cell_angle_beta 90.00
_cell_angle_gamma 90.00
loop_
_atom_site_label
_atom_site_type_symbol
_atom_site_fract_x
_atom_site_fract_y
_atom_site_fract_z
_atom_site_occupancy
Ba1 Ba 0.0000 0.0000 0.0000 1
P1 P 0.0000 0.5000 0.0000 1
Ru1 Ru 0.5000 0.5000 0.5000 1
O1 O 0.0000 0.0000 0.5000 1
```

Computed properties:
ΔE_f (raw)   1.5520 eV per atom
Energy above the most stable polymorph in this dataset   9.87 eV/f.u.

# 3
Computed, not measured: an optimized crystal structure of KPmZn2F8 at the PBE level of DFT.

Cell and atoms, written as CIF:
```
data_KPmZn2F8
_chemical_formula_sum 'K3 Pm3 Zn6 F24'
_space_group_name_H-M_alt 'R 3 2'
_space_group_IT_number 155
_space_group_name_Hall 'R 3 2"'
_cell_length_a 5.3292
_cell_length_b 5.3292
_cell_length_c 24.7300
_cell_angle_alpha 90.00
_cell_angle_beta 90.00
_cell_angle_gamma 120.00
loop_
_atom_site_label
_atom_site_type_symbol
_atom_site_fract_x
_atom_site_fract_y
_atom_site_fract_z
_atom_site_occupancy
K1 K 0.0000 0.0000 0.0000 1
Pm1 Pm 0.0000 0.0000 0.5000 1
Zn1 Zn 0.0000 0.0000 0.2594 1
F1 F 0.0000 0.0000 0.3344 1
F2 F 0.0027 0.3300 0.2243 1
```

Computed properties:
ΔE_f (raw)   -2.8879 eV per atom

# 4
Computed, not measured: an optimized crystal structure of Li2CuP3H2O10 at the PBE level of DFT.

Cell and atoms, written as CIF:
```
data_Li2CuP3H2O10
_chemical_formula_sum 'Li4 Cu2 P6 H4 O20'
_space_group_name_H-M_alt 'P -1'
_space_group_IT_number 2
_cell_length_a 7.2551
_cell_length_b 7.9553
_cell_length_c 8.0108
_cell_angle_alpha 72.06
_cell_angle_beta 75.88
_cell_angle_gamma 73.17
loop_
_space_group_symop_operation_xyz
'x,y,z'
'-x,-y,-z'
loop_
_atom_site_label
_atom_site_type_symbol
_atom_site_fract_x
_atom_site_fract_y
_atom_site_fract_z
_atom_site_occupancy
Li1 Li 0.1072 0.3553 0.3550 1
Li2 Li 0.1731 0.6641 0.0336 1
Cu1 Cu 0.2136 0.9536 0.5965 1
P1 P 0.1958 0.0903 0.1090 1
P2 P 0.2485 0.2753 0.7328 1
P3 P 0.3195 0.7074 0.3389 1
H1 H 0.4925 0.5886 0.7958 1
H2 H 0.4966 0.2476 0.1493 1
O1 O 0.0199 0.8761 0.8808 1
O2 O 0.0870 0.4251 0.7878 1
O3 O 0.2057 0.7588 0.5074 1
O4 O 0.2172 0.1959 0.5950 1
O5 O 0.2682 0.1926 0.1990 1
O6 O 0.2752 0.5535 0.2958 1
O7 O 0.2910 0.8744 0.1660 1
O8 O 0.3054 0.1133 0.9030 1
O9 O 0.4085 0.6834 0.8537 1
O10 O 0.4490 0.3437 0.6599 1
```

# 5
Computed, not measured: an optimized crystal structure of Mn2SnTe at the PBE level of DFT.

Cell and atoms, written as CIF:
```
data_Mn2SnTe
_chemical_formula_sum 'Mn8 Sn4 Te4'
_space_group_name_H-M_alt 'I -4 2 d'
_space_group_IT_number 122
_space_group_name_Hall 'I -4 2bw'
_cell_length_a 7.5754
_cell_length_b 7.5754
_cell_length_c 6.3295
_cell_angle_alpha 90.00
_cell_angle_beta 90.00
_cell_angle_gamma 90.00
loop_
_atom_site_label
_atom_site_type_symbol
_atom_site_fract_x
_atom_site_fract_y
_atom_site_fract_z
_atom_site_occupancy
Mn1 Mn 0.2455 0.2500 0.1250 1
Sn1 Sn 0.0000 0.0000 0.5000 1
Te1 Te 0.0000 0.0000 0.0000 1
```

Computed properties:
ΔE_f (raw)   0.3236 eV per atom
Energy above the most stable polymorph in this dataset   0.00 eV/f.u.

# 6
Computed, not measured: an optimized crystal structure of Na3Hg2Br3O2 at the PBE level of DFT.

Cell and atoms, written as CIF:
```
data_Na3Hg2Br3O2
_chemical_formula_sum 'Na6 Hg4 Br6 O4'
_space_group_name_H-M_alt 'I 4/m m m'
_space_group_IT_number 139
_space_group_name_Hall '-I 4 2'
_cell_length_a 4.4371
_cell_length_b 4.4371
_cell_length_c 24.0793
_cell_angle_alpha 90.00
_cell_angle_beta 90.00
_cell_angle_gamma 90.00
loop_
_atom_site_label
_atom_site_type_symbol
_atom_site_fract_x
_atom_site_fract_y
_atom_site_fract_z
_atom_site_occupancy
Na1 Na 0.0000 0.0000 0.0000 1
Na2 Na 0.0000 0.0000 0.3780 1
Hg1 Hg 0.0000 0.5000 0.2500 1
Br1 Br 0.0000 0.0000 0.1237 1
Br2 Br 0.0000 0.0000 0.5000 1
O1 O 0.0000 0.0000 0.2806 1
```

Computed properties:
ΔE_f (raw)   -0.9627 eV per atom

# 7
Computed, not measured: an optimized crystal structure of ScRe2Au at the PBE level of DFT.

Cell and atoms, written as CIF:
```
data_ScRe2Au
_chemical_formula_sum 'Sc2 Re4 Au2'
_space_group_name_H-M_alt 'C m m m'
_space_group_IT_number 65
_space_group_name_Hall '-C 2 2'
_cell_length_a 5.6070
_cell_length_b 8.6419
_cell_length_c 2.7320
_cell_angle_alpha 90.00
_cell_angle_beta 90.00
_cell_angle_gamma 90.00
loop_
_atom_site_label
_atom_site_type_symbol
_atom_site_fract_x
_atom_site_fract_y
_atom_site_fract_z
_atom_site_occupancy
Sc1 Sc 0.0000 0.0000 0.0000 1
Re1 Re 0.2500 0.2500 0.5000 1
Au1 Au 0.0000 0.5000 0.0000 1
```

Computed properties:
Energy above the most stable polymorph in this dataset   1.61 eV/f.u.

# 8
Computed, not measured: an optimized crystal structure of KAuCl2 at the PBE level of DFT.

Cell and atoms, written as CIF:
```
data_KAuCl2
_chemical_formula_sum 'K2 Au2 Cl4'
_space_group_name_H-M_alt 'I m m m'
_space_group_IT_number 71
_space_group_name_Hall '-I 2 2'
_cell_length_a 4.1230
_cell_length_b 6.5232
_cell_length_c 8.1100
_cell_angle_alpha 90.00
_cell_angle_beta 90.00
_cell_angle_gamma 90.00
loop_
_atom_site_label
_atom_site_type_symbol
_atom_site_fract_x
_atom_site_fract_y
_atom_site_fract_z
_atom_site_occupancy
K1 K 0.0000 0.0000 0.0000 1
Au1 Au 0.0000 0.0000 0.5000 1
Cl1 Cl 0.0000 0.5000 0.2056 1
```

Computed properties:
ΔE_f (raw)   -0.8708 eV per atom
Energy above the most stable polymorph in this dataset   0.96 eV/f.u.

# 9
Computed, not measured: an optimized crystal structure of CsTlSb2Pb2 at the PBE level of DFT.

Cell and atoms, written as CIF:
```
data_CsTlSb2Pb2
_chemical_formula_sum 'Cs1 Tl1 Sb2 Pb2'
_space_group_name_H-M_alt 'P -3 m 1'
_space_group_IT_number 164
_space_group_name_Hall '-P 3 2"'
_cell_length_a 5.6524
_cell_length_b 5.6524
_cell_length_c 8.3505
_cell_angle_alpha 90.00
_cell_angle_beta 90.00
_cell_angle_gamma 120.00
loop_
_atom_site_label
_atom_site_type_symbol
_atom_site_fract_x
_atom_site_fract_y
_atom_site_fract_z
_atom_site_occupancy
Cs1 Cs 0.0000 0.0000 0.0000 1
Tl1 Tl 0.0000 0.0000 0.5000 1
Sb1 Sb 0.3333 0.6667 0.7048 1
Pb1 Pb 0.3333 0.6667 0.3360 1
```

Computed properties:
ΔE_f (raw)   -0.1816 eV per atom

Number 1: volume 25.57 Å³ per atom, E_tot -17.893 eV for the cell shown. Number 2: volume 28.05 Å³ per atom, E_tot -19.217 eV for the cell shown. Number 3: volume 16.90 Å³ per atom, E_tot -174.064 eV for the cell shown. Number 4: volume 11.53 Å³ per atom, E_tot -226.872 eV for the cell shown. Number 5: volume 22.70 Å³ per atom, E_tot -96.758 eV for the cell shown. Number 6: volume 23.70 Å³ per atom, E_tot -58.246 eV for the cell shown. Number 7: volume 16.55 Å³ per atom, E_tot -66.779 eV for the cell shown. Number 8: volume 27.26 Å³ per atom, E_tot -23.102 eV for the cell shown. Number 9: volume 38.51 Å³ per atom, E_tot -19.971 eV for the cell shown.